Entry 1:
DFT (PBE) results for a relaxed structure of Tl2ZnSe.

Cell and atoms, written as POSCAR:
```
Tl2ZnSe
1.0
-1.380 -5.036 1.395
-1.894 -1.007 4.961
-5.205 -1.281 0.697
Tl Zn Se
2 1 1
Direct
0.250 0.250 0.250 Tl
0.750 0.750 0.750 Tl
0.000 0.000 0.000 Zn
0.500 0.500 0.500 Se
```

Values from the calculation:
As for the uncorrected formation energy: -63.1 meV/atom. The symmetry is Fm-3m (225).



Entry 2:
DFT (PBE) results for a relaxed structure of BaMg2CuO4.

Cell and atoms, written as POSCAR:
```
BaMg2CuO4
1.0
-3.140 -0.410 -0.998
0.818 -3.635 4.440
-3.329 8.021 7.181
Ba Mg Cu O
2 4 2 8
Direct
0.111 0.221 0.750 Ba
0.889 0.779 0.250 Ba
0.368 0.736 0.541 Mg
0.632 0.264 0.041 Mg
0.632 0.264 0.459 Mg
0.368 0.736 0.959 Mg
0.840 0.680 0.750 Cu
0.160 0.320 0.250 Cu
0.253 0.506 0.103 O
0.747 0.494 0.603 O
0.747 0.494 0.897 O
0.253 0.506 0.397 O
0.000 0.000 0.500 O
0.000 0.000 0.000 O
0.423 0.845 0.750 O
0.577 0.155 0.250 O
```

Values from the calculation:
As for the uncorrected formation energy: -1904.2 meV/atom. The symmetry is Cmcm (63).



Entry 3:
DFT (PBE) results for a relaxed structure of AcPmPdRh.

Cell and atoms, written as POSCAR:
```
AcPmPdRh
1.0
5.169 0.000 0.000
2.584 4.476 0.000
2.584 1.492 4.220
Ac Rh Pd Pm
1 1 1 1
Direct
0.750 0.750 0.750 Ac
0.500 0.500 0.500 Rh
0.000 0.000 0.000 Pd
0.250 0.250 0.250 Pm
```

Values from the calculation:
The symmetry is F-43m (216). As for the energy of formation from the pure elements: -0.668 eV/atom.



Entry 4:
DFT (PBE) results for a relaxed structure of Na3CuMo.

Cell and atoms, written as POSCAR:
```
Na3CuMo
1.0
5.354 0.000 0.000
0.000 5.354 0.000
0.000 0.000 5.354
Na Mo Cu
3 1 1
Direct
0.000 0.500 0.000 Na
0.000 0.000 0.500 Na
0.500 0.000 0.000 Na
0.500 0.500 0.500 Mo
0.000 0.000 0.000 Cu
```

Values from the calculation:
The symmetry is Pm-3m (221). As for the energy of formation from the pure elements: 1.171 eV/atom.



Entry 5:
DFT (PBE) results for a relaxed structure of Sr3LiRh.

Cell and atoms, written as POSCAR:
```
Sr3LiRh
1.0
27.082 0.000 -0.888
0.000 7.088 0.000
-9.388 0.000 4.118
Sr Rh Li
12 4 4
Direct
0.179 0.068 0.563 Sr
0.821 0.932 0.437 Sr
0.321 0.568 0.937 Sr
0.679 0.432 0.063 Sr
0.313 0.283 0.249 Sr
0.687 0.717 0.751 Sr
0.187 0.783 0.251 Sr
0.813 0.217 0.749 Sr
0.563 0.761 0.092 Sr
0.437 0.239 0.908 Sr
0.937 0.261 0.408 Sr
0.063 0.739 0.592 Sr
0.084 0.376 0.503 Rh
0.916 0.624 0.497 Rh
0.416 0.876 0.997 Rh
0.584 0.124 0.003 Rh
0.475 0.889 0.563 Li
0.525 0.111 0.437 Li
0.025 0.389 0.937 Li
0.975 0.611 0.063 Li
```

Values from the calculation:
The symmetry is P2_1/c (14). As for the energy of formation from the pure elements: -0.114 eV/atom.



Entry 6:
DFT (PBE) results for a relaxed structure of Cs2PdI6Br.

Cell and atoms, written as POSCAR:
```
Cs2PdI6Br
1.0
-4.812 -6.071 -2.917
5.483 -5.613 2.637
-2.648 -6.146 5.416
Cs I Br Pd
2 6 1 1
Direct
0.750 0.250 0.500 Cs
0.250 0.750 0.500 Cs
0.213 0.213 0.573 I
0.787 0.787 0.427 I
0.237 0.237 0.000 I
0.763 0.763 0.000 I
0.763 0.237 0.000 I
0.237 0.763 0.000 I
0.500 0.500 0.000 Br
0.000 0.000 0.000 Pd
```

Values from the calculation:
As for the uncorrected formation energy: -694.3 meV/atom. The symmetry is I4/mmm (139).



Entry 7:
DFT (PBE) results for a relaxed structure of Ce2Ti2InRh5.

Cell and atoms, written as POSCAR:
```
Ce2Ti2InRh5
1.0
-1.310 -2.273 2.763
4.457 -7.676 -4.201
8.073 1.788 5.298
Ce Ti In Rh
4 4 2 10
Direct
0.000 0.690 0.190 Ce
0.000 0.310 0.810 Ce
0.000 0.190 0.310 Ce
0.000 0.810 0.690 Ce
0.000 0.113 0.613 Ti
0.000 0.887 0.387 Ti
0.000 0.613 0.887 Ti
0.000 0.387 0.113 Ti
0.000 0.000 0.000 In
0.000 0.500 0.500 In
0.500 0.213 0.060 Rh
0.500 0.787 0.940 Rh
0.500 0.060 0.787 Rh
0.500 0.713 0.440 Rh
0.500 0.940 0.213 Rh
0.500 0.287 0.560 Rh
0.500 0.560 0.713 Rh
0.500 0.440 0.287 Rh
0.500 0.500 0.000 Rh
0.500 0.000 0.500 Rh
```

Values from the calculation:
The symmetry is P4/mbm (127). As for the energy of formation from the pure elements: -0.518 eV/atom.



Entry 8:
DFT (PBE) results for a relaxed structure of MnBe2Pd3.

Cell and atoms, written as POSCAR:
```
MnBe2Pd3
1.0
-0.686 -2.516 1.038
0.923 -1.222 -2.352
8.717 -0.794 3.833
Mn Be Pd
1 2 3
Direct
0.500 0.500 0.500 Mn
0.500 0.500 0.846 Be
0.500 0.500 0.154 Be
0.000 0.000 0.000 Pd
0.000 0.000 0.700 Pd
0.000 0.000 0.300 Pd
```

Values from the calculation:
The symmetry is P4/mmm (123). As for the energy of formation from the pure elements: -0.454 eV/atom.